[1]
Below is crystalline HoTm2Tl3S6 at its relaxed geometry, with properties calculated at the PBE level.

Output
- ΔE_f (raw) (meV per atom) = -1489
- total magnetization (μB per atom) = 0.000

Cell: 6.9068 6.9068 7.8705 Å, 98.41 98.41 120.01°
Sites, in units of the cell vectors:
Ho1 0.0000 0.0000 0.0000
Tm1 0.3333 0.6667 0.0000
Tm2 0.6667 0.3333 0.0000
Tl1 0.1663 0.8337 0.5000
Tl2 0.5000 0.5000 0.5000
Tl3 0.8337 0.1663 0.5000
S1 0.0653 0.4010 0.1958
S2 0.2705 0.2705 0.8047
S3 0.4010 0.0653 0.1958
S4 0.5990 0.9347 0.8042
S5 0.7295 0.7295 0.1953
S6 0.9347 0.5990 0.8042

=====

[2]
Below is crystalline HoEr5Th4 at its relaxed geometry, with properties calculated at the PBE level.

Output
- total magnetization (μB per atom) = 0.000
- DFT formation energy (eV/atom) = 0.1083
- excess energy over the best structure of this formula in the dataset (eV per atom) = 0.000

Cell: 8.6396 8.6396 11.5296 Å, 109.45 109.45 23.13°
Sites, in units of the cell vectors:
Ho1 0.0000 0.0000 0.0000
Er1 0.0000 0.0000 0.5000
Er2 0.2902 0.2902 0.3846
Er3 0.3068 0.3068 0.9157
Er4 0.6932 0.6932 0.0843
Er5 0.7098 0.7098 0.6154
Th1 0.0978 0.0978 0.7939
Th2 0.4099 0.4099 0.7052
Th3 0.5901 0.5901 0.2948
Th4 0.9022 0.9022 0.2061

=====

[3]
Below is crystalline PaTi2V at its relaxed geometry, with properties calculated at the PBE level.

Output
- total magnetization (μB per atom) = 0.000
- DFT formation energy (eV/atom) = 0.2649
- excess energy over the best structure of this formula in the dataset (eV per atom) = 0.154

Cell: 9.9922 9.9922 9.9922 Å, 16.85 16.85 16.85°
Sites, in units of the cell vectors:
Pa1 0.0000 0.0000 0.0000
Ti1 0.0952 0.0952 0.0952
Ti2 0.9048 0.9048 0.9048
V1 0.5000 0.5000 0.5000

=====

[4]
Below is crystalline ScV4Au2 at its relaxed geometry, with properties calculated at the PBE level.

Output
- total magnetization (μB per atom) = 1.105
- DFT formation energy (eV/atom) = 1.1121

Cell: 7.5380 7.5380 7.5380 Å, 145.72 145.72 49.27°
Sites, in units of the cell vectors:
Sc1 0.0000 0.0000 0.0000
V1 0.0000 0.5000 0.5000
V2 0.1928 0.1928 0.0000
V3 0.5000 0.0000 0.5000
V4 0.8072 0.8072 0.0000
Au1 0.3834 0.3834 0.0000
Au2 0.6166 0.6166 0.0000

=====

[5]
Below is crystalline HfMg at its relaxed geometry, with properties calculated at the PBE level.

Output
- total magnetization (μB per atom) = 0.000
- DFT formation energy (eV/atom) = 0.1538

Cell: 11.3727 4.9197 6.2672 Å, 90.00 90.00 90.00°
Sites, in units of the cell vectors:
Hf1 0.0713 0.2500 0.0461
Hf2 0.1826 0.7500 0.8032
Hf3 0.3174 0.2500 0.3032
Hf4 0.4287 0.7500 0.5461
Hf5 0.5713 0.2500 0.4539
Hf6 0.6826 0.7500 0.6968
Hf7 0.8174 0.2500 0.1968
Hf8 0.9287 0.7500 0.9539
Mg1 0.0796 0.2500 0.5521
Mg2 0.1683 0.7500 0.2895
Mg3 0.3317 0.2500 0.7895
Mg4 0.4204 0.7500 0.0521
Mg5 0.5796 0.2500 0.9479
Mg6 0.6683 0.7500 0.2105
Mg7 0.8317 0.2500 0.7105
Mg8 0.9204 0.7500 0.4479

=====

[6]
Below is crystalline K2RuPb at its relaxed geometry, with properties calculated at the PBE level.

Output
- total magnetization (μB per atom) = 0.001
- DFT formation energy (eV/atom) = 0.5491

Cell: 6.7745 6.7745 6.7745 Å, 147.04 127.62 63.29°
Sites, in units of the cell vectors:
K1 0.0000 0.0000 0.0000
K2 0.6982 0.1982 0.5000
Ru1 0.4410 0.4410 0.0000
Pb1 0.2866 0.7866 0.5000

=====

[7]
Below is crystalline Pu6Pt2Rh at its relaxed geometry, with properties calculated at the PBE level.

Output
- total magnetization (μB per atom) = 1.070
- DFT formation energy (eV/atom) = -0.4009
- excess energy over the best structure of this formula in the dataset (eV per atom) = 0.000

Cell: 5.1970 5.1970 8.4561 Å, 92.22 92.22 54.04°
Sites, in units of the cell vectors:
Pu1 0.0143 0.0143 0.1794
Pu2 0.3297 0.3297 0.5986
Pu3 0.3402 0.3402 0.9044
Pu4 0.6598 0.6598 0.0956
Pu5 0.6703 0.6703 0.4014
Pu6 0.9857 0.9857 0.8206
Pt1 0.3464 0.3464 0.2518
Pt2 0.6536 0.6536 0.7482
Rh1 0.0000 0.0000 0.5000

=====

[8]
Below is crystalline NaLiAl at its relaxed geometry, with properties calculated at the PBE level.

Output
- total magnetization (μB per atom) = 0.000
- DFT formation energy (eV/atom) = -0.0097
- excess energy over the best structure of this formula in the dataset (eV per atom) = 0.000

Cell: 10.3355 10.3355 4.3906 Å, 90.00 90.00 162.98°
Sites, in units of the cell vectors:
Na1 0.1872 0.8128 0.7500
Na2 0.8128 0.1872 0.2500
Li1 0.0778 0.9222 0.2500
Li2 0.9222 0.0778 0.7500
Al1 0.4596 0.5404 0.2500
Al2 0.5404 0.4596 0.7500

=====

[9]
Below is crystalline InSnP2Cl at its relaxed geometry, with properties calculated at the PBE level.

Output
- ΔE_f (raw) (meV per atom) = 655
- total magnetization (μB per atom) = 0.570
- excess energy over the best structure of this formula in the dataset (eV per atom) = 0.000

Cell: 5.8011 5.8011 5.8679 Å, 90.00 90.00 90.00°
Sites, in units of the cell vectors:
In1 0.0000 0.0000 0.0000
Sn1 0.5000 0.5000 0.5000
P1 0.0000 0.5000 0.5000
P2 0.5000 0.0000 0.5000
Cl1 0.5000 0.5000 0.0000

=====

[10]
Below is crystalline PmHgIrAu at its relaxed geometry, with properties calculated at the PBE level.

Output
- total magnetization (μB per atom) = 0.000
- DFT formation energy (eV/atom) = -0.2586

Cell: 4.9210 4.9210 4.9210 Å, 60.00 60.00 60.00°
Sites, in units of the cell vectors:
Pm1 0.0000 0.0000 0.0000
Hg1 0.5000 0.5000 0.5000
Ir1 0.2500 0.2500 0.2500
Au1 0.7500 0.7500 0.7500